(1)
This record from Alexandria describes a geometry-optimized CeSm2Ru2 structure. The functional is PBE.

Output
crystal system: monoclinic
energy of formation: -345 meV per atom

a = 5.926 Å, b = 5.926 Å, c = 7.933 Å
α = 80.46°, β = 80.46°, γ = 60.54°
Fractional positions:
Ce 0.125 0.875 0.250
Ce 0.875 0.125 0.750
Sm 0.474 0.221 0.152
Sm 0.779 0.526 0.348
Sm 0.526 0.779 0.848
Sm 0.221 0.474 0.652
Ru 0.733 0.001 0.514
Ru 0.999 0.267 0.986
Ru 0.267 0.999 0.486
Ru 0.001 0.733 0.014


(2)
This record from Alexandria describes a geometry-optimized InBrO2 structure. The functional is PBE.

Output
crystal system: cubic

a = 4.309 Å, b = 4.309 Å, c = 4.309 Å
α = 60.00°, β = 60.00°, γ = 60.00°
Fractional positions:
O 0.250 0.250 0.250
O 0.750 0.750 0.750
Br 0.000 0.000 0.000
In 0.500 0.500 0.500


(3)
This record from Alexandria describes a geometry-optimized Pm2HoOsO8 structure. The functional is PBE.

Output
crystal system: orthorhombic

a = 5.139 Å, b = 5.137 Å, c = 6.877 Å
α = 90.00°, β = 90.01°, γ = 90.61°
Fractional positions:
Pm 0.500 0.500 0.749
Pm 0.500 0.500 0.251
Ho 0.000 0.000 0.500
Os 0.000 0.000 0.000
O 0.178 0.822 0.210
O 0.742 0.743 0.000
O 0.823 0.178 0.210
O 0.822 0.178 0.790
O 0.258 0.257 0.000
O 0.177 0.822 0.790
O 0.698 0.698 0.500
O 0.302 0.302 0.500


(4)
This record from Alexandria describes a geometry-optimized Ho2NpCo structure. The functional is PBE.

Output
crystal system: trigonal
energy of formation: 465 meV per atom

a = 3.430 Å, b = 3.430 Å, c = 10.396 Å
α = 80.51°, β = 80.51°, γ = 60.00°
Fractional positions:
Np 0.000 0.000 0.000
Co 0.500 0.500 0.500
Ho 0.110 0.110 0.669
Ho 0.890 0.890 0.331


(5)
This record from Alexandria describes a geometry-optimized YMo2P structure. The functional is PBE.

Output
crystal system: monoclinic
energy of formation: -76 meV per atom

a = 4.879 Å, b = 4.879 Å, c = 4.956 Å
α = 76.80°, β = 76.80°, γ = 39.57°
Fractional positions:
Y 0.500 0.500 0.000
Mo 0.276 0.276 0.673
Mo 0.724 0.724 0.327
P 0.000 0.000 0.500


(6)
This record from Alexandria describes a geometry-optimized HgPt2W structure. The functional is PBE.

Output
crystal system: tetragonal
energy of formation: 251 meV per atom

a = 4.956 Å, b = 4.956 Å, c = 4.956 Å
α = 131.60°, β = 131.54°, γ = 70.90°
Fractional positions:
Hg 0.250 0.750 0.500
Pt 0.000 0.000 0.000
Pt 0.500 0.500 0.000
W 0.750 0.250 0.500


no.,calculated volume (Å³/cell),total energy (eV/cell)
1,238.0,-71.30
2,56.6,-13.00
3,181.6,-94.55
4,104.0,-27.34
5,72.9,-33.84
6,66.7,-24.33